SbMoSe2: optimized geometry, PBEsol.

Output
Its energy relative to the elements, uncorrected is -0.0864 eV/atom. For the calculated total energy, the calculation gives -0.4478 Ry/atom. As for the space-group type: Cmmm (65).

a = 5.4383 Å, b = 5.4383 Å, c = 3.1794 Å
α = 90.00°, β = 90.00°, γ = 119.28°
Last column: nearest neighbours and their distance in Å.
Positions (direct):
1 Sb 0.0000 0.0000 0.0000  2 Mo 2.75
2 Mo 0.5000 0.5000 0.0000  4 Se 2.50, 2 Sb 2.75
3 Se 0.2941 0.7059 0.5000  2 Mo 2.50
4 Se 0.7059 0.2941 0.5000  2 Mo 2.50